DFT (PBE) results for a relaxed structure of Ba5Ge2Br2.

Values from the calculation:
SG ... Cmce (64)
Crystal system ... orthorhombic
Formation energy without anion corrections ... -1.04 eV per atom
Total DFT energy (no corrections) ... -31.6 eV per formula unit
Theoretical density ... 4.450 Mg/m³
Total magnetic moment ... 0.0 μB/cell

a b c (Å): 9.4039 9.3888 9.6075
angles (deg): 119.25 90.00 90.00
With the nearest neighbours (Å) after each atom.
Sites, in units of the cell vectors:
Ba  0.8584  0.7626  0.2355  3 Ge 3.29-3.47, 1 Br 3.56
Ba  0.0000  0.0000  0.0000  2 Br 3.40, 4 Ge 3.53-3.54
Ba  0.6416  0.2626  0.2355  3 Ge 3.29-3.47, 1 Br 3.56
Ba  0.8584  0.5271  0.7645  3 Ge 3.29-3.47, 1 Br 3.56
Ba  0.6416  0.0271  0.7645  3 Ge 3.29-3.47, 1 Br 3.56
Ba  0.3584  0.9729  0.2355  3 Ge 3.29-3.47, 1 Br 3.56
Ba  0.3584  0.7374  0.7645  3 Ge 3.29-3.47, 1 Br 3.56
Ba  0.1416  0.2374  0.7645  3 Ge 3.29-3.47, 1 Br 3.56
Ba  0.5000  0.5000  0.0000  2 Br 3.40, 4 Ge 3.53-3.54
Ba  0.1416  0.4729  0.2355  3 Ge 3.29-3.47, 1 Br 3.56
Ge  0.8414  0.3409  0.0000  8 Ba 3.29-3.54
Ge  0.6586  0.8409  0.0000  8 Ba 3.29-3.54
Ge  0.1586  0.6591  0.0000  8 Ba 3.29-3.54
Ge  0.3414  0.1591  0.0000  8 Ba 3.29-3.54
Br  0.5000  0.7030  0.4061  3 Ba 3.40-3.56
Br  0.5000  0.2970  0.5939  3 Ba 3.40-3.56
Br  0.0000  0.7970  0.5939  3 Ba 3.40-3.56
Br  0.0000  0.2030  0.4061  3 Ba 3.40-3.56